No. 1
The following is a DFT calculation (PBE) of a relaxed NaNiGe2N crystal.

Cell and atoms, written as POSCAR:
```
NaNiGe2N
1.0
4.2243 0.0000 0.0000
0.0000 4.2243 0.0000
0.0000 0.0000 4.2788
Na Ni Ge N
1 1 2 1
Cartesian
0.0000 0.0000 0.0000
2.1121 2.1121 0.0000
0.0000 2.1121 2.1394
2.1121 0.0000 2.1394
0.0000 0.0000 2.1394
```

D(E_F): 2.3 states/eV per cell
energy relative to the elements, uncorrected: 0.597 eV per atom
symmetry: P4/mmm
total magnetic moment: 0.00 μB/f.u.



No. 2
The following is a DFT calculation (PBE) of a relaxed Na2NiGeN crystal.

Cell and atoms, written as POSCAR:
```
Na2NiGeN
1.0
5.7352 0.0000 0.0000
0.0000 5.7352 0.0000
0.0000 0.0000 3.6191
Na Ni Ge N
2 1 1 1
Cartesian
0.0000 2.8676 0.0000
2.8676 0.0000 0.0000
0.0000 0.0000 1.8095
2.8676 2.8676 0.0000
2.8676 2.8676 1.8095
```

D(E_F): 3.8 states/eV per cell
energy relative to the elements, uncorrected: 0.937 eV per atom
symmetry: P4/mmm
total magnetic moment: 0.29 μB/f.u.



No. 3
The following is a DFT calculation (PBE) of a relaxed NaGeNO2 crystal.

Cell and atoms, written as POSCAR:
```
NaGeNO2
1.0
4.1476 0.0000 0.0000
0.0000 4.1476 0.0000
0.0000 0.0000 4.2146
Na Ge N O
1 1 1 2
Cartesian
0.0000 0.0000 0.0000
2.0738 2.0738 2.1073
0.0000 0.0000 2.1073
0.0000 2.0738 0.0000
2.0738 0.0000 0.0000
```

D(E_F): 2.0 states/eV per cell
energy relative to the elements, uncorrected: 1.058 eV per atom
symmetry: P4/mmm
total magnetic moment: 4.00 μB/f.u.



No. 4
The following is a DFT calculation (PBE) of a relaxed NaGeN2O crystal.

Cell and atoms, written as POSCAR:
```
NaGeN2O
1.0
3.9169 0.0000 0.0000
0.0000 3.9169 0.0000
0.0000 0.0000 3.8452
Na Ge N O
1 1 2 1
Cartesian
0.0000 0.0000 0.0000
1.9585 1.9585 1.9226
0.0000 1.9585 1.9226
1.9585 0.0000 1.9226
1.9585 1.9585 0.0000
```

D(E_F): 1.2 states/eV per cell
energy relative to the elements, uncorrected: 0.370 eV per atom
symmetry: P4/mmm
total magnetic moment: 2.95 μB/f.u.



For reference, mass density by record: 5.2, 2.7, 3.2, 3.9 g/cm3.